Computed, not measured: RbLiNpO5 after structural relaxation at the PBE-GGA level of DFT.

For the final energy, the calculation gives -7.19 eV/atom. The density of states at the Fermi level is 24.23 states/eV per cell.

It has space group C2/c (No. 15), with a = 7.669 Å, b = 9.956 Å, c = 8.307 Å, α = 90.00°, β = 117.35° and γ = 90.00°. The inequivalent atoms are Rb at (0.000, 0.081, 0.250), Li at (0.000, 0.449, 0.250), Np at (0.250, 0.250, 0.000), O at (0.000, 0.197, 0.750), O at (0.086, 0.313, 0.104) and O at (0.235, 0.429, 0.905).

---

Computed, not measured: CeScIrRu after structural relaxation at the PBE-GGA level of DFT.

For the final energy, the calculation gives -8.21 eV/atom. The density of states at the Fermi level is 16.54 states/eV per cell. Its formation energy is -2.428 eV/f.u.

It has space group F-43m (No. 216), with a = 6.719 Å, b = 6.719 Å, c = 6.719 Å, α = 90.00°, β = 90.00° and γ = 90.00°. The inequivalent atoms are Ce at (0.000, 0.000, 0.000), Sc at (0.000, 0.000, 0.500), Ir at (0.250, 0.250, 0.250) and Ru at (0.250, 0.250, 0.750).